No. 1
The following is a DFT calculation (PBE) of crystalline Ce6Tl2C at its relaxed geometry.

Unit cell a=7.306 b=7.306 c=11.012 alpha=90.00 beta=90.00 gamma=90.00
Positions (direct):
1 Ce 0.192 0.192 0.129
2 Ce 0.192 0.192 0.871
3 Ce 0.236 0.764 0.000
4 Ce 0.264 0.264 0.500
5 Ce 0.308 0.692 0.371
6 Ce 0.308 0.692 0.629
7 Ce 0.692 0.308 0.371
8 Ce 0.692 0.308 0.629
9 Ce 0.736 0.736 0.500
10 Ce 0.764 0.236 0.000
11 Ce 0.808 0.808 0.129
12 Ce 0.808 0.808 0.871
13 Tl 0.000 0.000 0.353
14 Tl 0.000 0.000 0.647
15 Tl 0.500 0.500 0.147
16 Tl 0.500 0.500 0.853
17 C 0.000 0.000 0.000
18 C 0.500 0.500 0.500

Its magnetic moment is 4.8 μB/f.u. The calculation puts the energy relative to the lowest polymorph listed for this composition at 39.6 kJ/mol of atoms. The calculation puts the density at 7.127 g cm⁻³. The value obtained for the final energy is -95.5 eV per cell.

No. 2
The following is a DFT calculation (PBE) of crystalline La3AlNi8 at its relaxed geometry.

Unit cell a=8.852 b=8.852 c=8.852 alpha=33.50 beta=33.50 gamma=33.50
Positions (direct):
1 La 0.000 0.000 0.000
2 La 0.128 0.128 0.128
3 La 0.615 0.615 0.615
4 Al 0.491 0.491 0.491
5 Ni 0.058 0.058 0.559
6 Ni 0.058 0.559 0.058
7 Ni 0.069 0.562 0.562
8 Ni 0.311 0.311 0.311
9 Ni 0.559 0.058 0.058
10 Ni 0.562 0.069 0.562
11 Ni 0.562 0.562 0.069
12 Ni 0.812 0.812 0.812

Its magnetic moment is 0.0 μB/f.u. The calculation puts the density at 8.060 g cm⁻³. The value obtained for the final energy is -68.8 eV per cell.

No. 3
The following is a DFT calculation (PBE) of crystalline Al2Sn2B at its relaxed geometry.

Unit cell a=4.945 b=4.945 c=4.143 alpha=90.00 beta=90.00 gamma=90.00
Positions (direct):
1 Al 0.000 0.000 0.000
2 Al 0.500 0.500 0.000
3 Sn 0.000 0.500 0.500
4 Sn 0.500 0.000 0.500
5 B 0.000 0.000 0.500

Its magnetic moment is 0.0 μB/f.u. The calculation puts the density at 4.952 g cm⁻³. The value obtained for the final energy is -19.7 eV per cell.

no.,energy of formation (eV/atom)
1,0.2022
2,-0.3360
3,0.5020